# 1
# Eu2RhPb GGA-PBE relaxed
# **Magnetic moment**: 13.842 μB per formula unit
# **Energy of formation**: -0.105 eV per atom
# **D(E_F)**: 46.21 states/eV per cell
data_Eu2RhPb
_space_group_name_H-M_alt 'R -3 m'
_space_group_IT_number 166
_space_group_name_Hall '-R 3 2"'
_cell_length_a 3.8272
_cell_length_b 3.8272
_cell_length_c 30.9858
_cell_angle_alpha 90.00
_cell_angle_beta 90.00
_cell_angle_gamma 120.00
loop_
_atom_site_label
_atom_site_type_symbol
_atom_site_fract_x
_atom_site_fract_y
_atom_site_fract_z
Eu1 Eu 0.0000 0.0000 0.1089
Rh1 Rh 0.0000 0.0000 0.5000
Pb1 Pb 0.0000 0.0000 0.0000

# 2
# TbEuRhPb GGA-PBE relaxed
# **Magnetic moment**: 6.847 μB per formula unit
# **Energy of formation**: -0.402 eV per atom
# **D(E_F)**: 42.86 states/eV per cell
data_TbEuRhPb
_space_group_name_H-M_alt 'F -4 3 m'
_space_group_IT_number 216
_space_group_name_Hall 'F -4 2 3'
_cell_length_a 7.410
_cell_length_b 7.410
_cell_length_c 7.410
_cell_angle_alpha 90.00
_cell_angle_beta 90.00
_cell_angle_gamma 90.00
loop_
_atom_site_label
_atom_site_type_symbol
_atom_site_fract_x
_atom_site_fract_y
_atom_site_fract_z
Tb1 Tb 0.000 0.000 0.000
Eu1 Eu 0.000 0.000 0.500
Rh1 Rh 0.250 0.250 0.750
Pb1 Pb 0.250 0.250 0.250

# 3
# EuYRhPb GGA-PBE relaxed
# **Magnetic moment**: 6.851 μB per formula unit
# **Energy of formation**: -0.411 eV per atom
# **D(E_F)**: 42.51 states/eV per cell
data_EuYRhPb
_space_group_name_H-M_alt 'F -4 3 m'
_space_group_IT_number 216
_space_group_name_Hall 'F -4 2 3'
_cell_length_a 7.403
_cell_length_b 7.403
_cell_length_c 7.403
_cell_angle_alpha 90.00
_cell_angle_beta 90.00
_cell_angle_gamma 90.00
loop_
_atom_site_label
_atom_site_type_symbol
_atom_site_fract_x
_atom_site_fract_y
_atom_site_fract_z
Eu1 Eu 0.000 0.000 0.000
Y1 Y 0.000 0.000 0.500
Rh1 Rh 0.250 0.250 0.250
Pb1 Pb 0.250 0.250 0.750

# 4
# Eu3RuPb GGA-PBE relaxed
# **Magnetic moment**: 20.279 μB per formula unit
# **Energy of formation**: -0.093 eV per atom
# **D(E_F)**: 11.73 states/eV per cell
data_Eu3RuPb
_space_group_name_H-M_alt 'P m -3 m'
_space_group_IT_number 221
_space_group_name_Hall '-P 4 2 3'
_cell_length_a 5.421
_cell_length_b 5.421
_cell_length_c 5.421
_cell_angle_alpha 90.00
_cell_angle_beta 90.00
_cell_angle_gamma 90.00
loop_
_atom_site_label
_atom_site_type_symbol
_atom_site_fract_x
_atom_site_fract_y
_atom_site_fract_z
Eu1 Eu 0.000 0.000 0.500
Ru1 Ru 0.000 0.000 0.000
Pb1 Pb 0.500 0.500 0.500

# 5
# EuPbS2 GGA-PBE relaxed
# **ΔE_f (raw)**: -1109 meV per atom
# **Magnetic moment**: 6.943 μB per formula unit
# **D(E_F)**: 9.82 states/eV per cell
data_EuPbS2
_space_group_name_H-M_alt 'P 4/m m m'
_space_group_IT_number 123
_space_group_name_Hall '-P 4 2'
_cell_length_a 5.061
_cell_length_b 5.061
_cell_length_c 3.654
_cell_angle_alpha 90.00
_cell_angle_beta 90.00
_cell_angle_gamma 90.00
loop_
_atom_site_label
_atom_site_type_symbol
_atom_site_fract_x
_atom_site_fract_y
_atom_site_fract_z
Eu1 Eu 0.000 0.000 0.000
Pb1 Pb 0.500 0.500 0.000
S1 S 0.000 0.500 0.500

# 6
# EuPbS2 GGA-PBE relaxed
# **ΔE_f (raw)**: -979 meV per atom
# **Magnetic moment**: 6.278 μB per formula unit
# **D(E_F)**: 14.73 states/eV per cell
data_EuPbS2
_space_group_name_H-M_alt 'R -3 m'
_space_group_IT_number 166
_space_group_name_Hall '-R 3 2"'
_cell_length_a 4.1317
_cell_length_b 4.1317
_cell_length_c 25.5342
_cell_angle_alpha 90.00
_cell_angle_beta 90.00
_cell_angle_gamma 120.00
loop_
_atom_site_label
_atom_site_type_symbol
_atom_site_fract_x
_atom_site_fract_y
_atom_site_fract_z
Eu1 Eu 0.0000 0.0000 0.0000
Pb1 Pb 0.0000 0.0000 0.5000
S1 S 0.0000 0.0000 0.3921

# 7
# Eu3Pb5S12 GGA-PBE relaxed
# **ΔE_f (raw)**: -725 meV per atom
# **Magnetic moment**: 19.966 μB per formula unit
# **D(E_F)**: 298.92 states/eV per cell
data_Eu3Pb5S12
_space_group_name_H-M_alt 'I a -3 d'
_space_group_IT_number 230
_space_group_name_Hall '-I 4bd 2c 3'
_cell_length_a 16.472
_cell_length_b 16.472
_cell_length_c 16.472
_cell_angle_alpha 90.00
_cell_angle_beta 90.00
_cell_angle_gamma 90.00
loop_
_atom_site_label
_atom_site_type_symbol
_atom_site_fract_x
_atom_site_fract_y
_atom_site_fract_z
Eu1 Eu 0.000 0.250 0.125
Pb1 Pb 0.000 0.000 0.000
Pb2 Pb 0.000 0.250 0.375
S1 S 0.021 0.067 0.656

# 8
# EuSb4Pb GGA-PBE relaxed
# **ΔE_f (raw)**: -129 meV per atom
# **Magnetic moment**: 7.051 μB per formula unit
# **D(E_F)**: 14.29 states/eV per cell
data_EuSb4Pb
_space_group_name_H-M_alt 'F -4 3 m'
_space_group_IT_number 216
_space_group_name_Hall 'F -4 2 3'
_cell_length_a 9.008
_cell_length_b 9.008
_cell_length_c 9.008
_cell_angle_alpha 90.00
_cell_angle_beta 90.00
_cell_angle_gamma 90.00
loop_
_atom_site_label
_atom_site_type_symbol
_atom_site_fract_x
_atom_site_fract_y
_atom_site_fract_z
Eu1 Eu 0.000 0.000 0.000
Sb1 Sb 0.123 0.123 0.623
Pb1 Pb 0.250 0.250 0.250

# 9
# EuScPb2 GGA-PBE relaxed
# **Magnetic moment**: 7.259 μB per formula unit
# **Energy of formation**: -0.408 eV per atom
# **D(E_F)**: 2.58 states/eV per cell
data_EuScPb2
_space_group_name_H-M_alt 'P 4/m m m'
_space_group_IT_number 123
_space_group_name_Hall '-P 4 2'
_cell_length_a 3.945
_cell_length_b 3.945
_cell_length_c 7.275
_cell_angle_alpha 90.00
_cell_angle_beta 90.00
_cell_angle_gamma 90.00
loop_
_atom_site_label
_atom_site_type_symbol
_atom_site_fract_x
_atom_site_fract_y
_atom_site_fract_z
Eu1 Eu 0.000 0.000 0.000
Sc1 Sc 0.000 0.000 0.500
Pb1 Pb 0.500 0.500 0.280

# 10
# EuScPb2 GGA-PBE relaxed
# **Magnetic moment**: 7.079 μB per formula unit
# **Energy of formation**: -0.356 eV per atom
# **D(E_F)**: 12.25 states/eV per cell
data_EuScPb2
_space_group_name_H-M_alt 'F m -3 m'
_space_group_IT_number 225
_space_group_name_Hall '-F 4 2 3'
_cell_length_a 7.670
_cell_length_b 7.670
_cell_length_c 7.670
_cell_angle_alpha 90.00
_cell_angle_beta 90.00
_cell_angle_gamma 90.00
loop_
_atom_site_label
_atom_site_type_symbol
_atom_site_fract_x
_atom_site_fract_y
_atom_site_fract_z
Eu1 Eu 0.000 0.000 0.000
Sc1 Sc 0.000 0.000 0.500
Pb1 Pb 0.250 0.250 0.250

# 11
# EuSc2Pb GGA-PBE relaxed
# **Magnetic moment**: 8.524 μB per formula unit
# **Energy of formation**: -0.204 eV per atom
# **D(E_F)**: 3.82 states/eV per cell
data_EuSc2Pb
_space_group_name_H-M_alt 'P 4/m m m'
_space_group_IT_number 123
_space_group_name_Hall '-P 4 2'
_cell_length_a 4.777
_cell_length_b 4.777
_cell_length_c 4.631
_cell_angle_alpha 90.00
_cell_angle_beta 90.00
_cell_angle_gamma 90.00
loop_
_atom_site_label
_atom_site_type_symbol
_atom_site_fract_x
_atom_site_fract_y
_atom_site_fract_z
Eu1 Eu 0.000 0.000 0.000
Sc1 Sc 0.000 0.500 0.500
Pb1 Pb 0.500 0.500 0.000

# 12
# EuScPb2 GGA-PBE relaxed
# **Magnetic moment**: 7.807 μB per formula unit
# **Energy of formation**: -0.368 eV per atom
# **D(E_F)**: 3.07 states/eV per cell
data_EuScPb2
_space_group_name_H-M_alt 'P 4/m m m'
_space_group_IT_number 123
_space_group_name_Hall '-P 4 2'
_cell_length_a 4.919
_cell_length_b 4.919
_cell_length_c 4.589
_cell_angle_alpha 90.00
_cell_angle_beta 90.00
_cell_angle_gamma 90.00
loop_
_atom_site_label
_atom_site_type_symbol
_atom_site_fract_x
_atom_site_fract_y
_atom_site_fract_z
Eu1 Eu 0.000 0.000 0.000
Sc1 Sc 0.500 0.500 0.000
Pb1 Pb 0.000 0.500 0.500

Please write out number 11 again, unchanged.
# EuSc2Pb GGA-PBE relaxed
# **Magnetic moment**: 8.524 μB per formula unit
# **Energy of formation**: -0.204 eV per atom
# **D(E_F)**: 3.82 states/eV per cell
data_EuSc2Pb
_space_group_name_H-M_alt 'P 4/m m m'
_space_group_IT_number 123
_space_group_name_Hall '-P 4 2'
_cell_length_a 4.777
_cell_length_b 4.777
_cell_length_c 4.631
_cell_angle_alpha 90.00
_cell_angle_beta 90.00
_cell_angle_gamma 90.00
loop_
_atom_site_label
_atom_site_type_symbol
_atom_site_fract_x
_atom_site_fract_y
_atom_site_fract_z
Eu1 Eu 0.000 0.000 0.000
Sc1 Sc 0.000 0.500 0.500
Pb1 Pb 0.500 0.500 0.000